No. 1
The following is a PBE-GGA calculation of BaPaRhO4 after structural relaxation, from Alexandria via LeMat-Bulk.

Output
M_tot (μB per formula unit): 0.0
Formation energy (no corrections) (kcal/mol of atoms): -55.152

Unit cell a=7.228 b=7.228 c=7.228 alpha=124.28 beta=122.43 gamma=84.29
Fractional coordinates of all 14 atoms:
Ba1 0.425 0.175 0.250
Ba2 0.575 0.825 0.750
Pa1 0.000 0.500 0.500
Pa2 0.500 0.500 0.000
Rh1 0.000 0.000 0.500
Rh2 0.000 0.500 0.000
O1 0.131 0.700 0.431
O2 0.230 0.300 0.931
O3 0.298 0.358 0.560
O4 0.298 0.738 0.940
O5 0.702 0.262 0.060
O6 0.702 0.642 0.440
O7 0.770 0.700 0.069
O8 0.869 0.300 0.569

No. 2
The following is a PBE-GGA calculation of Ba3PaRh2O8 after structural relaxation, from Alexandria via LeMat-Bulk.

Output
M_tot (μB per formula unit): 4.9
Formation energy (no corrections) (kcal/mol of atoms): -46.088

Unit cell a=5.993 b=5.993 c=8.088 alpha=90.00 beta=90.00 gamma=120.00
Fractional coordinates of all 14 atoms:
Ba1 0.000 0.000 0.000
Ba2 0.333 0.667 0.645
Ba3 0.667 0.333 0.355
Pa1 0.000 0.000 0.500
Rh1 0.333 0.667 0.186
Rh2 0.667 0.333 0.814
O1 0.167 0.335 0.341
O2 0.167 0.833 0.341
O3 0.333 0.667 0.955
O4 0.335 0.167 0.659
O5 0.665 0.833 0.341
O6 0.667 0.333 0.045
O7 0.833 0.167 0.659
O8 0.833 0.665 0.659